[1]
KAgSb | Alexandria via LeMat-Bulk | PBE | relaxed; energy above the lowest structure with this stoichiometry = 62 meV/atom; symmetry = P-6m2 (187)
1.0
-4.805 -0.768 -0.129
2.488 -0.828 4.102
-0.716 4.262 1.295
Ag K Sb
1 1 1
Cartesian
-0.597 3.552 1.079
-2.613 0.632 1.713
-0.540 2.744 3.771



[2]
KAgSb | Alexandria via LeMat-Bulk | PBE | relaxed; energy above the lowest structure with this stoichiometry = 142 meV/atom; symmetry = Imm2 (44)
1.0
6.622 0.766 -0.280
3.663 5.570 0.280
-4.725 -3.845 2.721
Ag K Sb
1 1 1
Cartesian
0.600 0.370 0.000
3.375 2.079 0.000
6.310 3.887 0.000



[3]
KAg4Sb4 | Alexandria via LeMat-Bulk | PBE | relaxed; symmetry = P4_2/n (86)
1.0
5.796 0.000 0.000
0.000 9.369 0.000
0.000 0.000 9.369
K Ag Sb
2 8 8
Cartesian
0.000 0.000 0.000
2.898 4.684 4.684
3.564 8.090 2.865
3.564 1.279 6.504
0.666 7.549 5.963
5.130 3.406 7.549
5.130 5.963 1.819
2.232 2.865 1.279
2.232 6.504 8.090
0.666 1.819 3.406
2.212 3.384 7.906
5.110 6.148 8.068
2.212 5.985 1.463
0.686 1.301 6.148
3.584 7.906 5.985
0.686 8.068 3.221
5.110 3.221 1.301
3.584 1.463 3.384



[4]
KAg3Sb | Alexandria via LeMat-Bulk | PBE | relaxed; energy above the lowest structure with this stoichiometry = 0 meV/atom; symmetry = Pm-3m (221)
1.0
5.418 0.000 0.000
0.000 5.418 0.000
0.000 0.000 5.418
Sb K Ag
1 1 3
Cartesian
0.000 0.000 0.000
2.709 2.709 2.709
0.000 2.709 0.000
0.000 0.000 2.709
2.709 0.000 0.000



[5]
KAgSb3 | Alexandria via LeMat-Bulk | PBE | relaxed; energy above the lowest structure with this stoichiometry = 1521 meV/atom; symmetry = Pm-3m (221)
1.0
-3.986 4.053 1.414
-4.152 -4.131 0.137
1.092 -0.909 5.683
Sb K Ag
3 1 1
Cartesian
-2.076 -2.065 0.069
0.546 -0.455 2.842
-1.993 2.027 0.707
0.000 0.000 0.000
-3.523 -0.493 3.617



[6]
KAgSb2 | Alexandria via LeMat-Bulk | PBE | relaxed; energy above the lowest structure with this stoichiometry = 234 meV/atom; symmetry = I4/mmm (139)
1.0
-4.127 -4.393 -0.701
1.655 -5.320 2.403
-0.169 5.718 2.023
Ag K Sb
1 1 2
Cartesian
0.125 -2.229 2.639
-2.766 -1.766 1.087
0.000 0.000 0.000
-1.236 -4.856 0.851



[7]
K2Ag2SbSe4 | Alexandria via LeMat-Bulk | PBE | relaxed; symmetry = C2/m (12)
1.0
-0.935 -2.958 -2.794
4.426 -3.935 5.803
-7.640 0.425 2.108
K Ag Sb Se
2 2 1 4
Cartesian
-0.902 -5.245 2.735
-3.248 -1.223 2.382
2.320 -3.387 2.809
-6.471 -3.081 2.308
0.000 0.000 0.000
-4.169 -4.469 3.007
0.019 -1.999 2.109
1.999 -5.173 4.806
-6.149 -1.295 0.310



[8]
K2SiAgSb | Alexandria via LeMat-Bulk | PBE | relaxed; symmetry = P4/mmm (123)
1.0
-4.153 -4.577 -2.194
2.167 0.169 -4.455
4.188 -4.692 1.860
Sb K Si Ag
1 2 1 1
Cartesian
1.084 0.084 -2.227
2.094 -2.346 0.930
-2.077 -2.288 -1.097
0.000 0.000 0.000
1.101 -4.550 -2.394



[9]
KTa2AgSb | Alexandria via LeMat-Bulk | PBE | relaxed; symmetry = P4/mmm (123)
1.0
4.705 0.000 0.000
0.000 5.493 0.000
0.000 0.000 4.705
Sb K Ag Ta
1 1 1 2
Cartesian
0.000 2.747 0.000
0.000 0.000 0.000
2.353 2.747 2.353
0.000 0.000 2.353
2.353 0.000 0.000



[10]
KAgSbTe2 | Alexandria via LeMat-Bulk | PBE | relaxed; energy above the lowest structure with this stoichiometry = 336 meV/atom; symmetry = P4/mmm (123)
1.0
5.708 0.000 0.000
0.000 5.708 0.000
0.000 0.000 5.310
Sb K Te Ag
1 1 2 1
Cartesian
0.000 0.000 2.655
2.854 2.854 2.655
0.000 2.854 0.000
2.854 0.000 0.000
0.000 0.000 0.000



[11]
KAgSb2Te4 | Alexandria via LeMat-Bulk | PBE | relaxed; symmetry = Cmcm (63)
1.0
4.510 0.000 0.000
-2.255 7.333 0.000
0.000 0.000 16.317
K Ag Sb Te
2 2 4 8
Cartesian
0.000 1.764 12.238
2.255 5.570 4.079
2.255 4.928 12.238
0.000 2.406 4.079
0.000 5.383 9.213
2.255 1.951 1.055
2.255 1.951 7.104
0.000 5.383 15.262
0.000 3.973 1.672
2.255 3.361 9.831
2.255 3.361 14.645
0.000 3.973 6.486
0.000 0.000 8.158
0.000 0.000 0.000
0.000 6.472 12.238
2.255 0.861 4.079



[12]
KAgSbTe2 | Alexandria via LeMat-Bulk | PBE | relaxed; energy above the lowest structure with this stoichiometry = 0 meV/atom; symmetry = Pmma (51)
1.0
4.303 0.000 0.000
0.000 8.319 1.179
0.000 -1.261 8.898
K Ag Sb Te
2 2 2 4
Cartesian
0.004 3.214 7.263
4.299 3.844 2.814
0.000 0.000 0.000
0.000 -0.630 4.449
2.151 -0.315 2.225
2.151 -0.946 6.674
2.151 6.179 0.877
2.151 1.510 4.752
2.152 5.548 5.326
2.152 0.879 9.201



| no. | raw formation energy (meV/atom) |
| --- | --- |
| 1 | -205 |
| 2 | -126 |
| 3 | -6 |
| 4 | 114 |
| 5 | 1361 |
| 6 | 93 |
| 7 | -537 |
| 8 | 307 |
| 9 | 2697 |
| 10 | 26 |
| 11 | -274 |
| 12 | -310 |